Entry from Alexandria: a geometry-optimized RbAcCl4 structure (PBE-GGA).

Unit cell a=5.036 b=5.036 c=7.837 alpha=90.00 beta=90.00 gamma=90.00
Sites, in units of the cell vectors:
Rb (0.000, 0.000, 0.000)
Ac (0.500, 0.500, 0.500)
Cl (0.500, 0.000, 0.716)
Cl (0.000, 0.500, 0.716)
Cl (0.500, 0.000, 0.284)
Cl (0.000, 0.500, 0.284)

Raw formation energy: -2.314 eV/atom
Total magnetic moment: 0.00 Bohr magnetons per cell
ΔE to the lowest computed polymorph: 0 kJ/mol of formula units
Space-group type: P4/mmm